(1)
Computed, not measured: a relaxed structure of InCuGe2Pb at the GGA-PBE level of DFT. Values from VASP.

Results
Electronic total energy ... -3.0805 eV/atom
ΔE_f ... 875 meV/atom

Geometry as Quantum ESPRESSO input:
```
&SYSTEM
  ibrav = 0, nat = 5, ntyp = 4
/
ATOMIC_SPECIES
In 114.82 In.upf
Cu 63.55 Cu.upf
Ge 72.64 Ge.upf
Pb 207.20 Pb.upf
ATOMIC_POSITIONS angstrom
In 0.000 0.000 0.000
Cu 2.784 2.784 0.000
Ge 0.000 2.784 2.443
Ge 2.784 0.000 2.443
Pb 2.784 2.784 2.443
CELL_PARAMETERS angstrom
5.567 0.000 0.000
0.000 5.567 0.000
0.000 0.000 4.886
```



(2)
Computed, not measured: a relaxed structure of InCuGePb2 at the GGA-PBE level of DFT. Values from VASP.

Results
Electronic total energy ... -3.3953 eV/atom
ΔE_f ... 378 meV/atom

Geometry as Quantum ESPRESSO input:
```
&SYSTEM
  ibrav = 0, nat = 5, ntyp = 4
/
ATOMIC_SPECIES
In 114.82 In.upf
Cu 63.55 Cu.upf
Ge 72.64 Ge.upf
Pb 207.20 Pb.upf
ATOMIC_POSITIONS angstrom
In 0.000 0.000 0.000
Cu 2.848 2.848 0.000
Ge 2.848 2.848 2.233
Pb 0.000 2.848 2.233
Pb 2.848 0.000 2.233
CELL_PARAMETERS angstrom
5.696 0.000 0.000
0.000 5.696 0.000
0.000 0.000 4.466
```



(3)
Computed, not measured: a relaxed structure of In2Cu7Ge2Pd at the GGA-PBE level of DFT. Values from VASP.

Results
Electronic total energy ... -3.9544 eV/atom
ΔE_f ... 94 meV/atom

Geometry as Quantum ESPRESSO input:
```
&SYSTEM
  ibrav = 0, nat = 12, ntyp = 4
/
ATOMIC_SPECIES
In 114.82 In.upf
Cu 63.55 Cu.upf
Ge 72.64 Ge.upf
Pd 106.42 Pd.upf
ATOMIC_POSITIONS angstrom
In 0.006 0.000 4.104
In 2.532 0.000 11.040
Cu 0.000 0.000 0.000
Cu 1.255 1.261 1.972
Cu 0.018 0.000 6.874
Cu 1.283 1.261 13.172
Cu 1.255 -1.261 1.972
Cu 2.520 0.000 8.271
Cu 1.283 -1.261 13.172
Ge -0.003 0.000 9.307
Ge 2.541 0.000 5.837
Pd 2.522 0.000 0.000
CELL_PARAMETERS angstrom
2.522 -2.522 0.000
2.522 2.522 0.000
-2.507 0.000 15.144
```



(4)
Computed, not measured: a relaxed structure of Pm2InCu3Ge4 at the GGA-PBE level of DFT. Values from VASP.

Results
Electronic total energy ... -4.7226 eV/atom
ΔE_f ... -423 meV/atom

Geometry as Quantum ESPRESSO input:
```
&SYSTEM
  ibrav = 0, nat = 10, ntyp = 4
/
ATOMIC_SPECIES
Pm 145.00 Pm.upf
In 114.82 In.upf
Cu 63.55 Cu.upf
Ge 72.64 Ge.upf
ATOMIC_POSITIONS angstrom
Pm 0.000 2.122 2.500
Pm 2.122 0.000 8.121
In 0.000 0.000 5.310
Cu 0.000 2.122 9.326
Cu 2.122 0.000 1.295
Cu 2.122 2.122 5.310
Ge 0.000 0.000 0.000
Ge 0.000 2.122 6.965
Ge 2.122 0.000 3.656
Ge 2.122 2.122 0.000
CELL_PARAMETERS angstrom
4.244 0.000 0.000
0.000 4.244 0.000
0.000 0.000 10.621
```



(5)
Computed, not measured: a relaxed structure of PmInCuGe at the GGA-PBE level of DFT. Values from VASP.

Results
Electronic total energy ... -4.2598 eV/atom
ΔE_f ... -209 meV/atom

Geometry as Quantum ESPRESSO input:
```
&SYSTEM
  ibrav = 0, nat = 4, ntyp = 4
/
ATOMIC_SPECIES
Pm 145.00 Pm.upf
In 114.82 In.upf
Cu 63.55 Cu.upf
Ge 72.64 Ge.upf
ATOMIC_POSITIONS angstrom
Pm 0.000 0.000 0.000
In 3.508 3.508 3.508
Cu 5.261 5.261 5.261
Ge 1.754 1.754 1.754
CELL_PARAMETERS angstrom
0.000 3.508 3.508
3.508 0.000 3.508
3.508 3.508 0.000
```



(6)
Computed, not measured: a relaxed structure of Pr2InCu3Ge4 at the GGA-PBE level of DFT. Values from VASP.

Results
Electronic total energy ... -4.7422 eV/atom
ΔE_f ... -437 meV/atom

Geometry as Quantum ESPRESSO input:
```
&SYSTEM
  ibrav = 0, nat = 10, ntyp = 4
/
ATOMIC_SPECIES
Pr 140.91 Pr.upf
In 114.82 In.upf
Cu 63.55 Cu.upf
Ge 72.64 Ge.upf
ATOMIC_POSITIONS angstrom
Pr 0.000 2.141 2.513
Pr 2.141 0.000 8.114
In 0.000 0.000 5.314
Cu 0.000 2.141 9.344
Cu 2.141 0.000 1.284
Cu 2.141 2.141 5.314
Ge 0.000 0.000 0.000
Ge 0.000 2.141 6.959
Ge 2.141 0.000 3.668
Ge 2.141 2.141 0.000
CELL_PARAMETERS angstrom
4.282 0.000 0.000
0.000 4.282 0.000
0.000 0.000 10.628
```



(7)
Computed, not measured: a relaxed structure of In2Cu7Ge2Pt at the GGA-PBE level of DFT. Values from VASP.

Results
Electronic total energy ... -4.0374 eV/atom
ΔE_f ... 81 meV/atom

Geometry as Quantum ESPRESSO input:
```
&SYSTEM
  ibrav = 0, nat = 12, ntyp = 4
/
ATOMIC_SPECIES
In 114.82 In.upf
Cu 63.55 Cu.upf
Ge 72.64 Ge.upf
Pt 195.08 Pt.upf
ATOMIC_POSITIONS angstrom
In 0.012 0.000 4.100
In 2.559 0.000 11.029
Cu 0.000 0.000 0.000
Cu 1.259 1.265 1.972
Cu 0.028 0.000 6.862
Cu 1.311 1.265 13.157
Cu 1.259 -1.265 1.972
Cu 2.542 0.000 8.267
Cu 1.311 -1.265 13.157
Ge 0.012 0.000 9.293
Ge 2.559 0.000 5.836
Pt 2.529 0.000 0.000
CELL_PARAMETERS angstrom
2.529 -2.529 0.000
2.529 2.529 0.000
-2.487 0.000 15.129
```



(8)
Computed, not measured: a relaxed structure of Pu2InCu4Ge3 at the GGA-PBE level of DFT. Values from VASP.

Results
Electronic total energy ... -6.4026 eV/atom
ΔE_f ... -239 meV/atom

Geometry as Quantum ESPRESSO input:
```
&SYSTEM
  ibrav = 0, nat = 10, ntyp = 4
/
ATOMIC_SPECIES
Pu 244.00 Pu.upf
In 114.82 In.upf
Cu 63.55 Cu.upf
Ge 72.64 Ge.upf
ATOMIC_POSITIONS angstrom
Pu 0.000 2.081 2.430
Pu 2.081 0.000 8.077
In 0.000 0.000 5.253
Cu 0.000 0.000 0.000
Cu 0.000 2.081 6.793
Cu 2.081 0.000 3.714
Cu 2.081 2.081 0.000
Ge 0.000 2.081 9.150
Ge 2.081 0.000 1.357
Ge 2.081 2.081 5.253
CELL_PARAMETERS angstrom
4.161 0.000 0.000
0.000 4.161 0.000
0.000 0.000 10.507
```



(9)
Computed, not measured: a relaxed structure of In2CuReGe at the GGA-PBE level of DFT. Values from VASP.

Results
Electronic total energy ... -4.2319 eV/atom
ΔE_f ... 1096 meV/atom

Geometry as Quantum ESPRESSO input:
```
&SYSTEM
  ibrav = 0, nat = 5, ntyp = 4
/
ATOMIC_SPECIES
In 114.82 In.upf
Cu 63.55 Cu.upf
Re 186.21 Re.upf
Ge 72.64 Ge.upf
ATOMIC_POSITIONS angstrom
In 0.000 2.414 0.000
In 2.414 0.000 0.000
Cu 0.000 0.000 0.000
Re 0.000 0.000 2.426
Ge 2.414 2.414 2.426
CELL_PARAMETERS angstrom
4.828 0.000 0.000
0.000 4.828 0.000
0.000 0.000 4.852
```



(10)
Computed, not measured: a relaxed structure of InCuGeSe4 at the GGA-PBE level of DFT. Values from VASP.

Results
Electronic total energy ... -3.9957 eV/atom
Formation energy without anion corrections ... -0.369 eV per atom

Geometry as Quantum ESPRESSO input:
```
&SYSTEM
  ibrav = 0, nat = 7, ntyp = 4
/
ATOMIC_SPECIES
In 114.82 In.upf
Cu 63.55 Cu.upf
Ge 72.64 Ge.upf
Se 78.96 Se.upf
ATOMIC_POSITIONS angstrom
In 0.000 0.000 0.000
Cu 0.000 0.000 5.440
Ge 0.000 2.927 2.720
Se 1.553 1.558 -1.476
Se 4.295 1.553 1.476
Se 1.374 1.369 3.964
Se -1.369 1.374 6.917
CELL_PARAMETERS angstrom
-2.927 2.927 5.440
2.927 -2.927 5.440
2.927 2.927 -5.440
```



(11)
Computed, not measured: a relaxed structure of InCu2GeSe at the GGA-PBE level of DFT. Values from VASP.

Results
Electronic total energy ... -3.4870 eV/atom
Formation energy without anion corrections ... 0.320 eV per atom

Geometry as Quantum ESPRESSO input:
```
&SYSTEM
  ibrav = 0, nat = 5, ntyp = 4
/
ATOMIC_SPECIES
In 114.82 In.upf
Cu 63.55 Cu.upf
Ge 72.64 Ge.upf
Se 78.96 Se.upf
ATOMIC_POSITIONS angstrom
In 0.000 0.000 0.000
Cu 0.000 2.299 2.702
Cu 2.299 0.000 2.702
Ge 2.299 2.299 2.702
Se 2.299 2.299 0.000
CELL_PARAMETERS angstrom
4.599 0.000 0.000
0.000 4.599 0.000
0.000 0.000 5.403
```



(12)
Computed, not measured: a relaxed structure of InCu2GeSe at the GGA-PBE level of DFT. Values from VASP.

Results
Electronic total energy ... -3.3359 eV/atom
Formation energy without anion corrections ... 0.471 eV per atom

Geometry as Quantum ESPRESSO input:
```
&SYSTEM
  ibrav = 0, nat = 5, ntyp = 4
/
ATOMIC_SPECIES
In 114.82 In.upf
Cu 63.55 Cu.upf
Ge 72.64 Ge.upf
Se 78.96 Se.upf
ATOMIC_POSITIONS angstrom
In 0.000 0.000 0.000
Cu 0.000 2.224 3.121
Cu 2.224 0.000 3.121
Ge 2.224 2.224 0.000
Se 0.000 0.000 3.121
CELL_PARAMETERS angstrom
4.448 0.000 0.000
0.000 4.448 0.000
0.000 0.000 6.242
```



(13)
Computed, not measured: a relaxed structure of Sm2InCu3Ge4 at the GGA-PBE level of DFT. Values from VASP.

Results
Electronic total energy ... -4.7057 eV/atom
ΔE_f ... -412 meV/atom

Geometry as Quantum ESPRESSO input:
```
&SYSTEM
  ibrav = 0, nat = 10, ntyp = 4
/
ATOMIC_SPECIES
Sm 150.36 Sm.upf
In 114.82 In.upf
Cu 63.55 Cu.upf
Ge 72.64 Ge.upf
ATOMIC_POSITIONS angstrom
Sm 0.000 2.116 2.496
Sm 2.116 0.000 8.129
In 0.000 0.000 5.312
Cu 0.000 2.116 9.322
Cu 2.116 0.000 1.302
Cu 2.116 2.116 5.312
Ge 0.000 0.000 0.000
Ge 0.000 2.116 6.970
Ge 2.116 0.000 3.655
Ge 2.116 2.116 0.000
CELL_PARAMETERS angstrom
4.231 0.000 0.000
0.000 4.231 0.000
0.000 0.000 10.625
```